1.
Density functional theory data (PBE-GGA) for a relaxed Sc3HgPd4 crystal.

The energy of formation from the pure elements is -74.8 kJ/mol of atoms. As for the symmetry: No. 123.

a b c (Å): 4.6328 6.7159 9.2652
angles (deg): 90.00 90.00 90.00
With the nearest neighbours (Å) after each atom.
Positions (direct):
1 Sc 0.5005 0.0000 0.7500  8 Pd 2.80-2.81
2 Sc 0.4995 0.0000 0.2500  8 Pd 2.80-2.81
3 Sc 0.5006 0.5000 0.7500  8 Pd 2.92
4 Sc 0.4994 0.5000 0.2500  8 Pd 2.92
5 Sc 0.0000 0.0000 0.0000  8 Pd 2.81
6 Sc 0.0000 0.0000 0.5000  8 Pd 2.81
7 Hg 0.0000 0.5000 0.0000  8 Pd 2.92
8 Hg 0.0000 0.5000 0.5000  8 Pd 2.92
9 Pd 0.5000 0.2357 0.0000  6 Sc 2.81-2.92, 2 Hg 2.92
10 Pd 0.0008 0.2356 0.7500  6 Sc 2.80-2.92, 2 Hg 2.92
11 Pd 0.5000 0.2357 0.5000  6 Sc 2.81-2.92, 2 Hg 2.92
12 Pd 0.5000 0.7643 0.5000  6 Sc 2.81-2.92, 2 Hg 2.92
13 Pd 0.5000 0.7643 0.0000  6 Sc 2.81-2.92, 2 Hg 2.92
14 Pd 0.9992 0.7644 0.2500  6 Sc 2.80-2.92, 2 Hg 2.92
15 Pd 0.0008 0.7644 0.7500  6 Sc 2.80-2.92, 2 Hg 2.92
16 Pd 0.9992 0.2356 0.2500  6 Sc 2.80-2.92, 2 Hg 2.92

2.
Density functional theory data (PBE-GGA) for a relaxed As5C3 crystal.

Its energy relative to the lowest polymorph listed for this composition is 0.0000 eV/atom. The energy of formation from the pure elements is 91.2 kJ/mol of atoms. As for the symmetry: No. 8.

a b c (Å): 7.1124 7.1124 7.7660
angles (deg): 78.37 78.37 128.47
With the nearest neighbours (Å) after each atom.
Positions (direct):
1 As 0.6994 0.1994 0.5555  4 C 1.92-2.06
2 As 0.5557 0.8112 0.9799  2 C 1.92
3 As 0.2083 0.3478 0.2507  1 C 2.00
4 As 0.8527 0.1566 0.1318  1 C 2.09
5 As 0.8478 0.7083 0.2507  1 C 2.00
6 As 0.6566 0.3527 0.1318  1 C 2.09
7 As 0.1191 0.1111 0.6520  3 C 1.96-2.13
8 As 0.3112 0.0557 0.9799  2 C 1.92
9 As 0.6111 0.6191 0.6520  3 C 1.96-2.13
10 As 0.1730 0.6730 0.5587  3 C 2.11
11 C 0.0697 0.3518 0.4994  4 As 2.00-2.13
12 C 0.2646 0.2618 0.8286  3 As 1.92-1.97
13 C 0.7618 0.7646 0.8286  3 As 1.92-1.97
14 C 0.5503 0.0503 0.3673  4 As 2.06-2.11
15 C 0.4668 0.9668 0.8270  3 As 1.92
16 C 0.8518 0.5697 0.4994  4 As 2.00-2.13

3.
Density functional theory data (PBE-GGA) for a relaxed CaCr2Mo crystal.

Its energy relative to the lowest polymorph listed for this composition is 0.0826 eV/atom. The energy of formation from the pure elements is 56.5 kJ/mol of atoms. As for the symmetry: No. 10.

a b c (Å): 4.0777 2.8983 6.3597
angles (deg): 79.86 90.00 90.00
With the nearest neighbours (Å) after each atom.
Positions (direct):
1 Cr 0.0000 0.9404 0.0982  1 Cr 2.05
2 Cr 0.0000 0.5596 0.4018  1 Cr 2.05
3 Mo 0.5000 0.2500 0.2500  4 Cr 2.49
4 Ca 0.5000 0.7500 0.7500  2 Ca 2.90, 4 Cr 3.13

4.
Density functional theory data (PBE-GGA) for a relaxed VHSe2 crystal.

Its energy relative to the lowest polymorph listed for this composition is 0.5673 eV/atom. As for the symmetry: No. 122.

a b c (Å): 5.3508 5.3508 6.4529
angles (deg): 65.51 65.51 90.00
With the nearest neighbours (Å) after each atom.
Positions (direct):
1 Se 0.5927 0.1250 0.2500  2 H 2.20, 2 V 2.40
2 Se 0.1573 0.6250 0.2500  2 H 2.20, 2 V 2.40
3 Se 0.8750 0.8427 0.7500  2 H 2.20, 2 V 2.40
4 Se 0.3750 0.4073 0.7500  2 H 2.20, 2 V 2.40
5 H 0.2500 0.7500 0.5000  4 Se 2.20
6 H 0.5000 0.5000 0.0000  4 Se 2.20
7 V 0.7500 0.2500 0.5000  4 Se 2.40
8 V 0.0000 0.0000 0.0000  4 Se 2.40

5.
Density functional theory data (PBE-GGA) for a relaxed Pm4In3 crystal.

Its energy relative to the lowest polymorph listed for this composition is 0.0000 eV/atom. The energy of formation from the pure elements is -31.7 kJ/mol of atoms. As for the symmetry: No. 166.

a b c (Å): 5.3740 5.3740 9.2723
angles (deg): 73.15 73.15 60.00
With the nearest neighbours (Å) after each atom.
Positions (direct):
1 Pm 0.1287 0.1287 0.6138  5 In 3.21-3.37
2 Pm 0.6190 0.6190 0.1429  7 In 3.23-3.41
3 Pm 0.3810 0.3810 0.8571  7 In 3.23-3.41
4 Pm 0.8713 0.8713 0.3862  5 In 3.21-3.37
5 In 0.0000 0.0000 0.0000  8 Pm 3.34-3.37
6 In 0.2510 0.2510 0.2470  8 Pm 3.21-3.41
7 In 0.7490 0.7490 0.7530  8 Pm 3.21-3.41

6.
Density functional theory data (PBE-GGA) for a relaxed Nd2GeP3Rh4 crystal.

The energy of formation from the pure elements is -99.3 kJ/mol of atoms. As for the symmetry: No. 115.

a b c (Å): 4.1607 4.1607 9.8630
angles (deg): 90.00 90.00 90.00
With the nearest neighbours (Å) after each atom.
Positions (direct):
1 Rh 0.0000 0.0000 0.0000  4 P 2.47
2 Rh 0.5000 0.0000 0.6276  3 P 2.34-2.43, 2 Ge 2.43
3 Rh 0.5000 0.5000 0.0000  4 P 2.47
4 Rh 0.0000 0.5000 0.3724  3 P 2.34-2.43, 2 Ge 2.43
5 P 0.0000 0.0000 0.5000  4 Rh 2.43
6 P 0.5000 0.0000 0.8654  5 Rh 2.34-2.47
7 P 0.0000 0.5000 0.1346  5 Rh 2.34-2.47
8 Nd 0.0000 0.5000 0.7474  6 P 3.16-3.21, 8 Rh 3.17-3.25, 2 Ge 3.21
9 Nd 0.5000 0.0000 0.2526  6 P 3.16-3.21, 8 Rh 3.17-3.25, 2 Ge 3.21
10 Ge 0.5000 0.5000 0.5000  4 Rh 2.43

7.
Density functional theory data (PBE-GGA) for a relaxed LaNiW2 crystal.

Its energy relative to the lowest polymorph listed for this composition is 0.3077 eV/atom. The energy of formation from the pure elements is 59.3 kJ/mol of atoms. As for the symmetry: No. 47.

a b c (Å): 3.1117 4.5510 5.2408
angles (deg): 90.00 90.00 90.00
With the nearest neighbours (Å) after each atom.
Positions (direct):
1 Ni 0.0000 0.5000 0.5000  4 La 2.76, 4 W 3.05
2 La 0.5000 0.0000 0.5000  4 Ni 2.76, 4 W 3.05
3 W 0.5000 0.5000 0.0000  4 W 2.76, 4 Ni 3.05
4 W 0.0000 0.0000 0.0000  4 W 2.76, 4 La 3.05

8.
Density functional theory data (PBE-GGA) for a relaxed SrTcOs crystal.

Its energy relative to the lowest polymorph listed for this composition is 0.0712 eV/atom. The energy of formation from the pure elements is 31.0 kJ/mol of atoms. As for the symmetry: No. 12.

a b c (Å): 7.6720 4.3246 10.7521
angles (deg): 90.00 131.98 90.00
With the nearest neighbours (Å) after each atom.
Positions (direct):
1 Tc 0.2950 0.0000 0.6943  3 Os 2.45-2.50
2 Tc 0.2950 0.5000 0.1943  3 Os 2.45-2.50
3 Tc 0.7050 0.5000 0.8057  3 Os 2.45-2.50
4 Tc 0.7050 0.0000 0.3057  3 Os 2.45-2.50
5 Sr 0.8396 0.5000 0.5742  6 Tc 3.18-3.54, 6 Os 3.19-3.53, 2 Sr 3.55
6 Sr 0.1604 0.5000 0.4258  6 Tc 3.18-3.54, 6 Os 3.19-3.53, 2 Sr 3.55
7 Sr 0.8396 0.0000 0.0742  6 Tc 3.18-3.54, 6 Os 3.19-3.53, 2 Sr 3.55
8 Sr 0.1604 0.0000 0.9258  6 Tc 3.18-3.54, 6 Os 3.19-3.53, 2 Sr 3.55
9 Os 0.5687 0.5000 0.1492  3 Tc 2.45-2.50, 1 Os 2.62
10 Os 0.4313 0.0000 0.3508  3 Tc 2.45-2.50, 1 Os 2.62
11 Os 0.4313 0.5000 0.8508  3 Tc 2.45-2.50, 1 Os 2.62
12 Os 0.5687 0.0000 0.6492  3 Tc 2.45-2.50, 1 Os 2.62

9.
Density functional theory data (PBE-GGA) for a relaxed BaZnGa2Au crystal.

The energy of formation from the pure elements is -42.2 kJ/mol of atoms. As for the symmetry: No. 119.

a b c (Å): 4.6623 4.6623 6.2942
angles (deg): 111.74 111.74 90.00
With the nearest neighbours (Å) after each atom.
Positions (direct):
1 Ga 0.6271 0.6271 0.2541  2 Au 2.68, 2 Zn 2.68, 1 Ga 2.72
2 Ga 0.3729 0.3729 0.7459  2 Zn 2.68, 2 Au 2.68, 1 Ga 2.72
3 Au 0.7500 0.2500 0.5000  4 Ga 2.68
4 Ba 0.0000 0.0000 0.0000  4 Au 3.55, 4 Zn 3.55, 8 Ga 3.57
5 Zn 0.2500 0.7500 0.5000  4 Ga 2.68

10.
Density functional theory data (PBE-GGA) for a relaxed ZnFeCo crystal.

Its energy relative to the lowest polymorph listed for this composition is 0.0763 eV/atom. The energy of formation from the pure elements is 6.6 kJ/mol of atoms. As for the symmetry: No. 2.

a b c (Å): 2.5726 2.5873 12.7696
angles (deg): 85.42 89.93 60.14
With the nearest neighbours (Å) after each atom.
Positions (direct):
1 Fe 0.4481 0.9777 0.4547  3 Co 2.45-2.58, 6 Fe 2.57-2.59, 3 Zn 2.62-2.64
2 Fe 0.2647 0.3399 0.9785  3 Co 2.45-2.58, 6 Fe 2.57-2.59, 3 Zn 2.62-2.64
3 Zn 0.1648 0.5442 0.6253  9 Zn 2.57-2.77, 3 Fe 2.62-2.64
4 Zn 0.5486 0.7737 0.8079  9 Zn 2.57-2.77, 3 Fe 2.62-2.64
5 Co 0.0064 0.8582 0.1395  3 Fe 2.45-2.58, 9 Co 2.45-2.59
6 Co 0.7052 0.4589 0.2938  9 Co 2.45-2.59, 3 Fe 2.45-2.58